The following is a DFT calculation (PBE-GGA) of an optimized crystal structure of HoGeRuO.

Values from the calculation:
ρ: 8.864 g/cm³
total moment: 0.00 Bohr magnetons per cell
formation energy (no corrections): -1670 meV/atom

Structure (CIF):
```
data_HoGeRuO
_space_group_name_H-M_alt 'P 4/n m m'
_space_group_IT_number 129
_cell_length_a 4.075
_cell_length_b 4.075
_cell_length_c 8.000
_cell_angle_alpha 90.00
_cell_angle_beta 90.00
_cell_angle_gamma 90.00
loop_
_space_group_symop_operation_xyz
'x,y,z'
'-x,-y,-z'
'-y+1/2,x,z'
'y+1/2,-x,-z'
'-x+1/2,-y+1/2,z'
'x+1/2,y+1/2,-z'
'y,-x+1/2,z'
'-y,x+1/2,-z'
'x+1/2,-y,-z'
'-x+1/2,y,z'
'-y,-x,-z'
'y,x,z'
'-x,y+1/2,-z'
'x,-y+1/2,z'
'y+1/2,x+1/2,-z'
'-y+1/2,-x+1/2,z'
loop_
_atom_site_label
_atom_site_fract_x
_atom_site_fract_y
_atom_site_fract_z
_atom_site_occupancy
Ho1 0.250 0.250 0.128 1
Ge1 0.250 0.250 0.664 1
Ru1 0.250 0.750 0.500 1
O1 0.250 0.750 0.000 1
```



The following is a DFT calculation (PBE-GGA) of an optimized crystal structure of Tb2Ho4Ge3O2.

Values from the calculation:
ρ: 8.426 g/cm³
total moment: 0.00 Bohr magnetons per cell
formation energy (no corrections): -1577 meV/atom

Structure (CIF):
```
data_Tb2Ho4Ge3O2
_space_group_name_H-M_alt 'I 4/m m m'
_space_group_IT_number 139
_space_group_name_Hall '-I 4 2'
_cell_length_a 4.525
_cell_length_b 4.525
_cell_length_c 23.625
_cell_angle_alpha 90.00
_cell_angle_beta 90.00
_cell_angle_gamma 90.00
loop_
_atom_site_label
_atom_site_fract_x
_atom_site_fract_y
_atom_site_fract_z
_atom_site_occupancy
Tb1 0.000 0.000 0.198 1
Ho1 0.000 0.500 0.081 1
Ge1 0.000 0.000 0.325 1
Ge2 0.000 0.000 0.500 1
O1 0.000 0.000 0.096 1
```



The following is a DFT calculation (PBE-GGA) of an optimized crystal structure of HoTiGe2O8.

Values from the calculation:
ρ: 5.544 g/cm³
total moment: 1.78 Bohr magnetons per cell
formation energy (no corrections): -2132 meV/atom

Structure (CIF):
```
data_HoTiGe2O8
_space_group_name_H-M_alt 'I -4 m 2'
_space_group_IT_number 119
_space_group_name_Hall 'I -4 -2'
_cell_length_a 6.775
_cell_length_b 6.775
_cell_length_c 6.343
_cell_angle_alpha 90.00
_cell_angle_beta 90.00
_cell_angle_gamma 90.00
loop_
_atom_site_label
_atom_site_fract_x
_atom_site_fract_y
_atom_site_fract_z
_atom_site_occupancy
Ho1 0.000 0.000 0.000 1
Ti1 0.000 0.500 0.750 1
Ge1 0.000 0.000 0.500 1
Ge2 0.000 0.500 0.250 1
O1 0.000 0.200 0.682 1
O2 0.000 0.322 0.050 1
```



The following is a DFT calculation (PBE-GGA) of an optimized crystal structure of Ho3Tl3GeO8.

Values from the calculation:
ρ: 8.447 g/cm³
total moment: 0.00 Bohr magnetons per cell
formation energy (no corrections): -2182 meV/atom

Structure (CIF):
```
data_Ho3Tl3GeO8
_space_group_name_H-M_alt 'R -3 m'
_space_group_IT_number 166
_space_group_name_Hall '-R 3 2"'
_cell_length_a 6.7252
_cell_length_b 6.7252
_cell_length_c 19.7019
_cell_angle_alpha 90.00
_cell_angle_beta 90.00
_cell_angle_gamma 120.00
loop_
_atom_site_label
_atom_site_fract_x
_atom_site_fract_y
_atom_site_fract_z
_atom_site_occupancy
Ho1 0.0000 0.5000 0.0000 1
Tl1 0.0000 0.5000 0.5000 1
Ge1 0.0000 0.0000 0.0000 1
O1 0.0000 0.0000 0.2783 1
O2 0.0394 0.5197 0.7198 1
```



The following is a DFT calculation (PBE-GGA) of an optimized crystal structure of HoTlGeO4.

Values from the calculation:
ρ: 6.623 g/cm³
total moment: 0.00 Bohr magnetons per cell
formation energy (no corrections): -2122 meV/atom

Structure (CIF):
```
data_HoTlGeO4
_space_group_name_H-M_alt 'P 1 21/m 1'
_space_group_IT_number 11
_space_group_name_Hall '-P 2yb'
_cell_length_a 5.841
_cell_length_b 5.922
_cell_length_c 7.708
_cell_angle_alpha 90.00
_cell_angle_beta 107.91
_cell_angle_gamma 90.00
loop_
_atom_site_label
_atom_site_fract_x
_atom_site_fract_y
_atom_site_fract_z
_atom_site_occupancy
Ho1 0.199 0.250 0.044 1
Tl1 0.334 0.250 0.592 1
Ge1 0.263 0.750 0.849 1
O1 0.055 0.524 0.837 1
O2 0.454 0.750 0.710 1
O3 0.481 0.750 0.069 1
```



The following is a DFT calculation (PBE-GGA) of an optimized crystal structure of HoTlGe2O6.

Values from the calculation:
ρ: 6.547 g/cm³
total moment: 0.00 Bohr magnetons per cell
formation energy (no corrections): -1938 meV/atom

Structure (CIF):
```
data_HoTlGe2O6
_space_group_name_H-M_alt 'C 1 2/c 1'
_space_group_IT_number 15
_space_group_name_Hall '-C 2yc'
_cell_length_a 10.521
_cell_length_b 10.992
_cell_length_c 5.388
_cell_angle_alpha 90.00
_cell_angle_beta 96.20
_cell_angle_gamma 90.00
loop_
_atom_site_label
_atom_site_fract_x
_atom_site_fract_y
_atom_site_fract_z
_atom_site_occupancy
Ho1 0.000 0.220 0.250 1
Tl1 0.000 0.408 0.750 1
Ge1 0.203 0.084 0.770 1
O1 0.103 0.187 0.611 1
O2 0.136 0.371 0.207 1
O3 0.166 0.060 0.095 1
```



The evaluated V for the records listed, in turn: 66.4, 241.9, 145.6, 257.2, 126.9, 154.9 Å³/f.u..